1.
This record from the Alexandria database describes a relaxed NbSiH3 crystal. The functional is PBE.

It has space group Pm-3m (No. 221), with a = 3.4094 Å, b = 3.4094 Å, c = 3.4094 Å, α = 90.00°, β = 90.00° and γ = 90.00°. The distinct sites, in fractional coordinates, are Nb at (0.0000, 0.0000, 0.0000), Si at (0.5000, 0.5000, 0.5000) and H at (0.0000, 0.5000, 0.5000).

Its total energy is -4.492 eV/atom.



2.
This record from the Alexandria database describes a relaxed TiMnPb3 crystal. The functional is PBE.

It has space group Pm-3m (No. 221), with a = 5.4010 Å, b = 5.4010 Å, c = 5.4010 Å, α = 90.00°, β = 90.00° and γ = 90.00°. The distinct sites, in fractional coordinates, are Ti at (0.0000, 0.0000, 0.0000), Mn at (0.5000, 0.5000, 0.5000) and Pb at (0.0000, 0.0000, 0.5000).

The formation energy comes out at 3.31 eV per formula unit.



3.
This record from the Alexandria database describes a relaxed La2CoHgTe crystal. The functional is PBE.

It has space group P4/mmm (No. 123), with a = 5.2426 Å, b = 5.2426 Å, c = 4.9982 Å, α = 90.00°, β = 90.00° and γ = 90.00°. The distinct sites, in fractional coordinates, are La at (0.0000, 0.5000, 0.0000), Co at (0.0000, 0.0000, 0.0000), Hg at (0.0000, 0.0000, 0.5000) and Te at (0.5000, 0.5000, 0.5000).

Its energy relative to the elements, uncorrected is -15.952 kcal/mol of atoms.



4.
This record from the Alexandria database describes a relaxed Cs2BaCuS crystal. The functional is PBE.

It has space group P4/mmm (No. 123), with a = 7.1799 Å, b = 7.1799 Å, c = 5.3158 Å, α = 90.00°, β = 90.00° and γ = 90.00°. The distinct sites, in fractional coordinates, are Cs at (0.0000, 0.5000, 0.0000), Ba at (0.0000, 0.0000, 0.0000), Cu at (0.0000, 0.0000, 0.5000) and S at (0.5000, 0.5000, 0.5000).

Its energy relative to the elements, uncorrected is 12.888 kcal/mol of atoms.



5.
This record from the Alexandria database describes a relaxed CaTmPd crystal. The functional is PBE.

It has space group I4mm (No. 107), with a = 3.5370 Å, b = 3.5370 Å, c = 12.7634 Å, α = 90.00°, β = 90.00° and γ = 90.00°. The distinct sites, in fractional coordinates, are Ca at (0.0000, 0.0000, 0.0000), Tm at (0.0000, 0.0000, 0.2656) and Pd at (0.0000, 0.0000, 0.6534).

The formation energy comes out at -1.63 eV per formula unit.



6.
This record from the Alexandria database describes a relaxed Sr2BeCd crystal. The functional is PBE.

It has space group F-43m (No. 216), with a = 7.5087 Å, b = 7.5087 Å, c = 7.5087 Å, α = 90.00°, β = 90.00° and γ = 90.00°. The distinct sites, in fractional coordinates, are Sr at (0.0000, 0.0000, 0.0000), Sr at (0.2500, 0.2500, 0.2500), Be at (0.0000, 0.0000, 0.5000) and Cd at (0.2500, 0.2500, 0.7500).

The formation energy comes out at 1.15 eV per formula unit.



7.
This record from the Alexandria database describes a relaxed NbCuAsO6 crystal. The functional is PBE.

It has space group P-31c (No. 163), with a = 5.1044 Å, b = 5.1044 Å, c = 8.9297 Å, α = 90.00°, β = 90.00° and γ = 120.00°. The distinct sites, in fractional coordinates, are Nb at (0.3333, 0.6667, 0.2500), Cu at (0.0000, 0.0000, 0.0000), As at (0.3333, 0.6667, 0.7500) and O at (0.0223, 0.3678, 0.6343).

Its energy relative to the elements, uncorrected is -32.455 kcal/mol of atoms.



8.
This record from the Alexandria database describes a relaxed LaY4Ho4 crystal. The functional is PBE.

It has space group P-1 (No. 2), with a = 6.7820 Å, b = 8.7111 Å, c = 10.6813 Å, α = 78.17°, β = 74.88° and γ = 76.12°. The distinct sites, in fractional coordinates, are La at (0.2408, 0.4614, 0.2172), Y at (0.0756, 0.1716, 0.7912), Y at (0.0802, 0.1614, 0.1248), Y at (0.2461, 0.4795, 0.5452), Y at (0.2520, 0.4767, 0.8788), Ho at (0.0858, 0.1607, 0.4616), Ho at (0.3819, 0.8375, 0.6287), Ho at (0.3897, 0.8431, 0.9599) and Ho at (0.3936, 0.8400, 0.2974).

The formation energy comes out at 0.38 eV per formula unit.



9.
This record from the Alexandria database describes a relaxed MgFeMo2 crystal. The functional is PBE.

It has space group Cmmm (No. 65), with a = 5.2897 Å, b = 8.8613 Å, c = 2.6237 Å, α = 90.00°, β = 90.00° and γ = 90.00°. The distinct sites, in fractional coordinates, are Mg at (0.0000, 0.0000, 0.0000), Fe at (0.0000, 0.5000, 0.0000) and Mo at (0.2500, 0.2500, 0.5000).

The formation energy comes out at 1.40 eV per formula unit.



10.
This record from the Alexandria database describes a relaxed MnCo4Pb crystal. The functional is PBE.

It has space group F-43m (No. 216), with a = 6.8738 Å, b = 6.8738 Å, c = 6.8738 Å, α = 90.00°, β = 90.00° and γ = 90.00°. The distinct sites, in fractional coordinates, are Mn at (0.0000, 0.0000, 0.0000), Co at (0.1257, 0.1257, 0.3743) and Pb at (0.2500, 0.2500, 0.7500).

The formation energy comes out at 1.55 eV per formula unit.